Entry 1:
VASP calculation (PBE+U) on crystalline K3MnO3 at its relaxed geometry.

DFT total energy   -5.040 eV per atom
Energy above the most stable polymorph in this dataset   4.4 kJ/mol of atoms

Cell lengths 6.632, 6.632, 6.616 Å; angles 95.69, 95.69, 112.42 degrees
Atoms (fractional coordinates):
K1 0.185 0.815 0.500
K2 0.815 0.185 0.500
O1 0.830 0.562 0.729
K3 0.260 0.740 0.000
Mn1 0.817 0.817 0.864
O2 0.438 0.170 0.271
Mn2 0.183 0.183 0.136
O3 0.096 0.096 0.834
K4 0.631 0.631 0.358
K5 0.369 0.369 0.642
O4 0.904 0.904 0.166
O5 0.562 0.830 0.729
K6 0.740 0.260 0.000
O6 0.170 0.438 0.271

Entry 2:
VASP calculation (PBE+U) on crystalline KMnO3 at its relaxed geometry.

DOS at the Fermi energy   2.98 states/eV/f.u.
DFT total energy   -3.922 eV per atom

Cell lengths 4.219, 4.219, 4.219 Å; angles 90.00, 90.00, 90.00 degrees
Atoms (fractional coordinates):
O1 0.000 0.000 0.500
O2 0.500 0.000 0.000
K1 0.000 0.000 0.000
O3 0.000 0.500 0.000
Mn1 0.500 0.500 0.500

Entry 3:
VASP calculation (PBE+U) on crystalline KMn3O6 at its relaxed geometry.

DOS at the Fermi energy   0.56 states/eV/f.u.
DFT total energy   -6.804 eV per atom

Cell lengths 2.933, 9.342, 9.409 Å; angles 112.90, 90.00, 90.00 degrees
Atoms (fractional coordinates):
O1 0.250 0.803 0.441
O2 0.250 0.466 0.598
Mn1 0.750 0.345 0.466
O3 0.750 0.534 0.402
Mn2 0.250 0.040 0.152
K1 0.750 0.626 0.899
Mn3 0.250 0.242 0.712
O4 0.750 0.120 0.060
O5 0.250 0.046 0.778
O6 0.250 0.880 0.940
O7 0.750 0.332 0.851
Mn4 0.750 0.758 0.288
K2 0.250 0.374 0.101
O8 0.250 0.668 0.149
Mn5 0.750 0.960 0.848
O9 0.750 0.954 0.222
O10 0.750 0.197 0.559
O11 0.250 0.247 0.328
Mn6 0.250 0.655 0.534
O12 0.750 0.753 0.672

Entry 4:
VASP calculation (PBE+U) on crystalline KMnO2 at its relaxed geometry.

DOS at the Fermi energy   0.00 states/eV/f.u.
DFT total energy   -6.125 eV per atom

Cell lengths 2.915, 6.513, 6.672 Å; angles 90.00, 90.00, 90.00 degrees
Atoms (fractional coordinates):
O1 0.500 0.659 0.887
Mn1 0.500 0.000 0.500
O2 0.000 0.159 0.613
K1 0.500 0.500 0.500
K2 0.000 0.000 0.000
Mn2 0.000 0.500 0.000
O3 0.000 0.841 0.387
O4 0.500 0.341 0.113